# 1
Crystalline In2Pb2I at its relaxed geometry. Source: the Alexandria database, functional PBE.

## Properties
E_form (uncorrected), meV per atom: -34
Calculated density, g/cm³: 7.73
D(E_F), states/eV/f.u.: 2.62
Energy, eV/atom: -2.923

Lattice parameters (Å, degrees): 9.4846 9.4846 9.4846 153.84 153.84 37.34
Last column: nearest neighbours and their distance in Å.
Element x y z (fractional)
In  0.2500  0.7500  0.5000  4 In 3.04, 4 Pb 3.30
In  0.7500  0.2500  0.5000  4 In 3.04, 4 Pb 3.30
Pb  0.1105  0.1105  0.0000  4 In 3.30, 4 I 3.63
Pb  0.8895  0.8895  0.0000  4 In 3.30, 4 I 3.63
I  0.5000  0.5000  0.0000  8 Pb 3.63



# 2
Crystalline In4PbI6 at its relaxed geometry. Source: the Alexandria database, functional PBE.

## Properties
E_form (uncorrected), meV per atom: -488
Calculated density, g/cm³: 5.28
D(E_F), states/eV/f.u.: 0.00
Energy, eV/atom: -2.666

Lattice parameters (Å, degrees): 9.3382 9.3382 10.3020 90.00 90.00 90.00
Last column: nearest neighbours and their distance in Å.
Element x y z (fractional)
In  0.1631  0.3369  0.2500  6 I 3.47-3.84
In  0.1631  0.3369  0.7500  6 I 3.47-3.84
In  0.3369  0.8369  0.2500  6 I 3.47-3.84
In  0.3369  0.8369  0.7500  6 I 3.47-3.84
In  0.6631  0.1631  0.2500  6 I 3.47-3.84
In  0.6631  0.1631  0.7500  6 I 3.47-3.84
In  0.8369  0.6631  0.2500  6 I 3.47-3.84
In  0.8369  0.6631  0.7500  6 I 3.47-3.84
Pb  0.0000  0.0000  0.0000  6 I 3.17-3.24
Pb  0.5000  0.5000  0.5000  6 I 3.17-3.24
I  0.0000  0.0000  0.3073  1 Pb 3.17, 4 In 3.54
I  0.0000  0.0000  0.6927  1 Pb 3.17, 4 In 3.54
I  0.1408  0.6829  0.0000  1 Pb 3.24, 2 In 3.47
I  0.1829  0.6408  0.5000  1 Pb 3.24, 2 In 3.47
I  0.3171  0.1408  0.0000  1 Pb 3.24, 2 In 3.47
I  0.3592  0.1829  0.5000  1 Pb 3.24, 2 In 3.47
I  0.5000  0.5000  0.1927  1 Pb 3.17, 4 In 3.54
I  0.5000  0.5000  0.8073  1 Pb 3.17, 4 In 3.54
I  0.6408  0.8171  0.5000  1 Pb 3.24, 2 In 3.47
I  0.6829  0.8592  0.0000  1 Pb 3.24, 2 In 3.47
I  0.8171  0.3592  0.5000  1 Pb 3.24, 2 In 3.47
I  0.8592  0.3171  0.0000  1 Pb 3.24, 2 In 3.47



# 3
Crystalline In4PbI at its relaxed geometry. Source: the Alexandria database, functional PBE.

## Properties
E_form (uncorrected), meV per atom: 37
Calculated density, g/cm³: 7.09
D(E_F), states/eV/f.u.: 3.47
Energy, eV/atom: -2.665

Lattice parameters (Å, degrees): 6.4038 6.4038 6.4038 60.00 60.00 60.00
Last column: nearest neighbours and their distance in Å.
Element x y z (fractional)
In  0.3756  0.3756  0.3756  6 In 3.19-3.22
In  0.3756  0.3756  0.8733  6 In 3.19-3.22
In  0.3756  0.8733  0.3756  6 In 3.19-3.22
In  0.8733  0.3756  0.3756  6 In 3.19-3.22
Pb  0.7500  0.7500  0.7500  12 In 3.75, 4 I 3.92
I  0.0000  0.0000  0.0000  12 In 3.76, 4 Pb 3.92



# 4
Crystalline InPbI3 at its relaxed geometry. Source: the Alexandria database, functional PBE.

## Properties
E_form (uncorrected), meV per atom: -91
Calculated density, g/cm³: 5.42
D(E_F), states/eV/f.u.: 3.91
Energy, eV/atom: -2.310

Lattice parameters (Å, degrees): 5.9930 5.9930 5.9930 90.00 90.00 90.00
Last column: nearest neighbours and their distance in Å.
Element x y z (fractional)
In  0.0000  0.0000  0.0000  6 I 3.00
Pb  0.5000  0.5000  0.5000  12 I 4.24
I  0.0000  0.0000  0.5000  2 In 3.00
I  0.0000  0.5000  0.0000  2 In 3.00
I  0.5000  0.0000  0.0000  2 In 3.00



> Which of these has the lowest D(E_F)?

In4PbI6